First-principles (PBE-GGA) data for a geometry-optimized Dy7Co2Sn2 structure, as listed in the Alexandria database.

Lattice parameters (Å, degrees): 6.726 7.003 6.726 90.01 108.01 89.99
Fractional coordinates of all 11 atoms:
Dy 0.000 0.759 0.500
Dy 0.500 0.759 0.000
Sn 0.183 0.500 0.183
Co 0.712 0.000 0.288
Dy 0.000 0.241 0.500
Dy 0.500 0.241 0.000
Dy 0.500 0.227 0.500
Dy 0.000 0.000 0.000
Sn 0.817 0.500 0.817
Dy 0.500 0.773 0.500
Co 0.288 0.000 0.712

Output
- calculated formation energy (eV per atom) = -0.273
- final energy (Ha/atom) = -0.192

=====

First-principles (PBE-GGA) data for a geometry-optimized Tb3Y3Cd2 structure, as listed in the Alexandria database.

Lattice parameters (Å, degrees): 5.252 6.425 15.685 90.00 90.00 114.12
Fractional coordinates of all 16 atoms:
Cd 0.223 0.446 0.139
Tb 0.356 0.711 0.970
Cd 0.777 0.554 0.639
Y 0.957 0.914 0.394
Y 0.043 0.086 0.894
Tb 0.552 0.104 0.750
Cd 0.223 0.446 0.361
Y 0.043 0.086 0.606
Y 0.731 0.462 0.250
Y 0.269 0.538 0.750
Tb 0.448 0.896 0.250
Tb 0.644 0.289 0.030
Cd 0.777 0.554 0.861
Tb 0.356 0.711 0.530
Y 0.957 0.914 0.106
Tb 0.644 0.289 0.470

Output
- calculated formation energy (eV per atom) = -0.058
- final energy (Ha/atom) = -0.163

=====

Q: What is the final energy in the first record?
A: -0.192 Ha/atom